1.
# NdSm3Sc PBE relaxed
data_NdSm3Sc
_chemical_formula_sum 'Nd8 Sm24 Sc8'
_cell_length_a 19.975
_cell_length_b 9.876
_cell_length_c 6.617
_cell_angle_alpha 90.00
_cell_angle_beta 94.02
_cell_angle_gamma 90.00
_symmetry_space_group_name_H-M 'C 1 2/c 1'
_symmetry_Int_Tables_number 15
loop_
_symmetry_equiv_pos_as_xyz
'x,y,z'
'-x,-y,-z'
'-x,y,-z+1/2'
'x,-y,z+1/2'
'x+1/2,y+1/2,z'
'-x+1/2,-y+1/2,-z'
'-x+1/2,y+1/2,-z+1/2'
'x+1/2,-y+1/2,z+1/2'
loop_
_atom_site_label
_atom_site_fract_x
_atom_site_fract_y
_atom_site_fract_z
Nd1 0.000 0.101 0.250
Nd2 0.000 0.249 0.750
Sm1 0.076 0.442 0.395
Sm2 0.151 0.105 0.588
Sm3 0.165 0.251 0.077
Sc1 0.216 0.436 0.682
# - spin magnetization (μB per formula unit) = 0.000
# - DFT formation energy (eV per atom) = 0.087
# - energy above the lowest structure with this stoichiometry (meV per atom) = 40.5



2.
# Nd3Sm12Sc PBE relaxed
data_Nd3Sm12Sc
_chemical_formula_sum 'Nd3 Sm12 Sc1'
_cell_length_a 5.117
_cell_length_b 5.117
_cell_length_c 20.419
_cell_angle_alpha 90.00
_cell_angle_beta 90.00
_cell_angle_gamma 90.00
_symmetry_space_group_name_H-M 'P 4/m m m'
_symmetry_Int_Tables_number 123
_symmetry_space_group_name_Hall '-P 4 2'
loop_
_atom_site_label
_atom_site_fract_x
_atom_site_fract_y
_atom_site_fract_z
Nd1 0.000 0.000 0.000
Nd2 0.000 0.000 0.253
Sm1 0.000 0.500 0.127
Sm2 0.000 0.500 0.380
Sm3 0.500 0.500 0.000
Sm4 0.500 0.500 0.254
Sm5 0.500 0.500 0.500
Sc1 0.000 0.000 0.500
# - spin magnetization (μB per formula unit) = 0.000
# - DFT formation energy (eV per atom) = 0.023